Record 1
DFT (PBE-GGA) results for an optimized crystal structure of PuScTc.

Lattice parameters (Å, degrees): 6.401 6.401 6.401 90.00 90.00 90.00
Space group F-43m (No. 216)
Unique sites:
Pu  0.000  0.000  0.000 (multiplicity 4)
Sc  0.250  0.250  0.250 (multiplicity 4)
Tc  0.000  0.000  0.500 (multiplicity 4)

Total DFT energy (no corrections), eV for the cell shown: -115.57
Offset from the most stable computed form, eV per formula unit: 0.000
Calculated formation energy, eV/atom: 0.641

=====

Record 2
DFT (PBE-GGA) results for an optimized crystal structure of PuScTl.

Lattice parameters (Å, degrees): 7.202 7.202 7.202 90.00 90.00 90.00
Space group F-43m (No. 216)
Unique sites:
Pu  0.000  0.000  0.000 (multiplicity 4)
Sc  0.000  0.000  0.500 (multiplicity 4)
Tl  0.250  0.250  0.250 (multiplicity 4)

Total DFT energy (no corrections), eV for the cell shown: -88.50
Offset from the most stable computed form, eV per formula unit: 0.000

=====

Record 3
DFT (PBE-GGA) results for an optimized crystal structure of PuScTl2.

Lattice parameters (Å, degrees): 3.316 3.316 9.130 90.00 90.00 90.00
Space group P4/mmm (No. 123)
Unique sites:
Pu  0.000  0.000  0.000 (multiplicity 1)
Sc  0.000  0.000  0.500 (multiplicity 1)
Tl  0.500  0.500  0.265 (multiplicity 2)

Total DFT energy (no corrections), eV for the cell shown: -25.95

=====

Record 4
DFT (PBE-GGA) results for an optimized crystal structure of YPuSc.

Lattice parameters (Å, degrees): 7.102 7.102 7.102 90.00 90.00 90.00
Space group F-43m (No. 216)
Unique sites:
Y  0.000  0.000  0.000 (multiplicity 4)
Pu  0.250  0.250  0.250 (multiplicity 4)
Sc  0.000  0.000  0.500 (multiplicity 4)

Total DFT energy (no corrections), eV for the cell shown: -97.08
Offset from the most stable computed form, eV per formula unit: 0.000
Calculated formation energy, eV/atom: 0.883

=====

Record 5
DFT (PBE-GGA) results for an optimized crystal structure of PuScZn.

Lattice parameters (Å, degrees): 6.726 6.726 6.726 90.00 90.00 90.00
Space group F-43m (No. 216)
Unique sites:
Pu  0.000  0.000  0.000 (multiplicity 4)
Sc  0.000  0.000  0.500 (multiplicity 4)
Zn  0.250  0.250  0.250 (multiplicity 4)

Total DFT energy (no corrections), eV for the cell shown: -84.41
Offset from the most stable computed form, eV per formula unit: 0.000
Calculated formation energy, eV/atom: 0.206

=====

Record 6
DFT (PBE-GGA) results for an optimized crystal structure of PuZrSc.

Lattice parameters (Å, degrees): 6.895 6.895 6.895 90.00 90.00 90.00
Space group F-43m (No. 216)
Unique sites:
Pu  0.000  0.000  0.000 (multiplicity 4)
Zr  0.000  0.000  0.500 (multiplicity 4)
Sc  0.250  0.250  0.250 (multiplicity 4)

Total DFT energy (no corrections), eV for the cell shown: -105.79
Offset from the most stable computed form, eV per formula unit: 0.000
Calculated formation energy, eV/atom: 0.852

=====

Record 7
DFT (PBE-GGA) results for an optimized crystal structure of PuSe2.

Lattice parameters (Å, degrees): 12.454 12.454 12.454 90.00 90.00 90.00
Space group Fd-3m (No. 227, origin choice 2)
Unique sites:
Pu  0.125  0.125  0.125 (multiplicity 8)
Se  0.000  0.000  0.000 (multiplicity 16)

Total DFT energy (no corrections), eV for the cell shown: -184.64

=====

Record 8
DFT (PBE-GGA) results for an optimized crystal structure of PuSe.

Lattice parameters (Å, degrees): 6.538 6.538 6.538 90.00 90.00 90.00
Space group F-43m (No. 216)
Unique sites:
Pu  0.000  0.000  0.000 (multiplicity 4)
Se  0.250  0.250  0.750 (multiplicity 4)

Total DFT energy (no corrections), eV for the cell shown: -79.61